1.
A relaxed LiMgSe2N crystal. Source: Alexandria via LeMat-Bulk, functional GGA-PBE.

Properties
ΔE to the lowest computed polymorph in meV per atom: 148
ΔE_f (raw) in eV per atom: 0.48
Spin magnetization in Bohr magnetons per cell: 2.14

Lattice parameters (Å, degrees): 4.875 4.875 3.780 90.00 90.00 90.00
Space group P4/mmm (No. 123)
One atom of each set of equivalent atoms:
Li (0.000, 0.000, 0.000) x1
Mg (0.500, 0.500, 0.500) x1
Se (0.000, 0.500, 0.000) x2
N (0.000, 0.000, 0.500) x1

2.
A relaxed Tb2Pr8Sm3 crystal. Source: Alexandria via LeMat-Bulk, functional GGA-PBE.

Properties
Formation enthalpy at 0 K in eV per atom: 0.2018
ΔE to the lowest computed polymorph in meV per atom: 32
Spin magnetization in Bohr magnetons per cell: 0.00

Lattice parameters (Å, degrees): 20.694 7.763 5.844 90.00 90.02 90.00
Space group C2/m (No. 12)
One atom of each set of equivalent atoms:
Tb (0.241, 0.000, 0.499) x4
Pr (0.106, 0.293, 0.500) x8
Pr (0.134, 0.000, 0.000) x4
Pr (0.174, 0.500, 0.001) x4
Sm (0.000, 0.000, 0.500) x2
Sm (0.000, 0.286, 0.000) x4